# AlTcOs2, relaxed, DFT PBE
# V (Å³/cell): 113.3
# E_form (kJ/mol of atoms): -7
data_AlTcOs2
_cell_length_a 2.9288
_cell_length_b 4.4349
_cell_length_c 8.7209
_cell_angle_alpha 90.00
_cell_angle_beta 90.00
_cell_angle_gamma 90.00
_space_group_name_H-M_alt 'I m m m'
_space_group_IT_number 71
_space_group_name_Hall '-I 2 2'
loop_
_atom_site_label
_atom_site_fract_x
_atom_site_fract_y
_atom_site_fract_z
_atom_site_occupancy
Al1 0.0000 0.0000 0.0000 1
Tc1 0.0000 0.0000 0.5000 1
Os1 0.0000 0.5000 0.2649 1